Model 1:
AcHoZnHg: relaxed, PBE.

a = 5.422 Å, b = 5.422 Å, c = 5.422 Å
α = 60.00°, β = 60.00°, γ = 60.00°
Fractional positions:
Ac 0.000 0.000 0.000
Ho 0.500 0.500 0.500
Zn 0.250 0.250 0.250
Hg 0.750 0.750 0.750

Properties
As for the total magnetization: 0.11 μB per atom. For the density of states at the Fermi level, the calculation gives 4.888 states/eV/cell. As for the space group: No. 216. As for the crystal system: cubic.

Model 2:
AcHoZnHg: relaxed, PBE.

a = 3.753 Å, b = 3.753 Å, c = 7.787 Å
α = 90.00°, β = 90.00°, γ = 90.00°
Fractional positions:
Ac 0.000 0.000 0.000
Ho 0.000 0.000 0.472
Zn 0.500 0.500 0.271
Hg 0.500 0.500 0.697

Properties
As for the total magnetization: 0.00 μB per atom. For the density of states at the Fermi level, the calculation gives 4.303 states/eV/cell. As for the space group: No. 99. As for the crystal system: tetragonal.

Energy ordering: model 2 at the bottom, the next structure 0.054 eV/atom above.